(1)
VASP calculation (PBE) on crystalline MnCrCdPd2 at its relaxed geometry.

Results
ΔH_f (0 K) ... 0.7786 eV/atom
SG ... P4/mmm, No. 123
Magnetization ... 0.0 μB per cell

Structure (CIF):
```
data_MnCrCdPd2
_symmetry_space_group_name_H-M 'P 1'
_symmetry_Int_Tables_number 1
_symmetry_space_group_name_Hall 'P 1'
_cell_length_a 4.715
_cell_length_b 4.006
_cell_length_c 4.715
_cell_angle_alpha 90.00
_cell_angle_beta 90.00
_cell_angle_gamma 90.00
loop_
_atom_site_label
_atom_site_type_symbol
_atom_site_fract_x
_atom_site_fract_y
_atom_site_fract_z
Cr1 Cr 0.000 0.000 0.000
Mn1 Mn 0.000 0.500 0.000
Pd1 Pd 0.000 0.000 0.500
Pd2 Pd 0.500 0.000 0.000
Cd1 Cd 0.500 0.500 0.500
```

***

(2)
VASP calculation (PBE) on crystalline MnCr2Cd2S6 at its relaxed geometry.

Results
SG ... C2/m, No. 12
Magnetization ... 11.0 μB per cell
DFT total energy ... -5.56 eV per atom

Structure (CIF):
```
data_MnCr2Cd2S6
_symmetry_space_group_name_H-M 'P 1'
_symmetry_Int_Tables_number 1
_symmetry_space_group_name_Hall 'P 1'
_cell_length_a 6.279
_cell_length_b 6.279
_cell_length_c 6.616
_cell_angle_alpha 99.02
_cell_angle_beta 99.02
_cell_angle_gamma 120.66
loop_
_atom_site_label
_atom_site_type_symbol
_atom_site_fract_x
_atom_site_fract_y
_atom_site_fract_z
Mn1 Mn 0.000 0.000 0.500
Cr1 Cr 0.333 0.667 0.500
Cr2 Cr 0.667 0.333 0.500
Cd1 Cd 0.836 0.164 0.000
Cd2 Cd 0.164 0.836 0.000
S1 S 0.735 0.735 0.710
S2 S 0.066 0.420 0.714
S3 S 0.265 0.265 0.290
S4 S 0.420 0.066 0.714
S5 S 0.934 0.580 0.286
S6 S 0.580 0.934 0.286
```

***

(3)
VASP calculation (PBE) on crystalline YMn2CrCd at its relaxed geometry.

Results
ΔH_f (0 K) ... 1.5984 eV/atom
SG ... P4/mmm, No. 123
Magnetization ... 10.7 μB per cell

Structure (CIF):
```
data_YMn2CrCd
_symmetry_space_group_name_H-M 'P 1'
_symmetry_Int_Tables_number 1
_symmetry_space_group_name_Hall 'P 1'
_cell_length_a 4.939
_cell_length_b 5.061
_cell_length_c 4.939
_cell_angle_alpha 90.00
_cell_angle_beta 90.00
_cell_angle_gamma 90.00
loop_
_atom_site_label
_atom_site_type_symbol
_atom_site_fract_x
_atom_site_fract_y
_atom_site_fract_z
Y1 Y 0.000 0.000 0.000
Cr1 Cr 0.000 0.500 0.000
Mn1 Mn 0.000 0.000 0.500
Mn2 Mn 0.500 0.000 0.000
Cd1 Cd 0.500 0.500 0.500
```

***

(4)
VASP calculation (PBE) on crystalline Cr2CdMo at its relaxed geometry.

Results
ΔH_f (0 K) ... 1.0317 eV/atom
SG ... I-42d, No. 122
Magnetization ... 0.0 μB per cell

Structure (CIF):
```
data_Cr2CdMo
_symmetry_space_group_name_H-M 'P 1'
_symmetry_Int_Tables_number 1
_symmetry_space_group_name_Hall 'P 1'
_cell_length_a 6.942
_cell_length_b 6.942
_cell_length_c 5.609
_cell_angle_alpha 51.77
_cell_angle_beta 51.77
_cell_angle_gamma 90.00
loop_
_atom_site_label
_atom_site_type_symbol
_atom_site_fract_x
_atom_site_fract_y
_atom_site_fract_z
Cr1 Cr 0.586 0.125 0.250
Cr2 Cr 0.164 0.625 0.250
Cr3 Cr 0.375 0.414 0.750
Cr4 Cr 0.875 0.836 0.750
Mo1 Mo 0.500 0.500 0.000
Mo2 Mo 0.250 0.750 0.500
Cd1 Cd 0.000 0.000 0.000
Cd2 Cd 0.750 0.250 0.500
```

***

(5)
VASP calculation (PBE) on crystalline CrCd2Mo at its relaxed geometry.

Results
ΔH_f (0 K) ... 0.5382 eV/atom
Relative energy among the computed polymorphs ... 239 meV per atom
SG ... P4/mmm, No. 123
Magnetization ... 3.6 μB per cell

Structure (CIF):
```
data_CrCd2Mo
_symmetry_space_group_name_H-M 'P 1'
_symmetry_Int_Tables_number 1
_symmetry_space_group_name_Hall 'P 1'
_cell_length_a 2.851
_cell_length_b 2.851
_cell_length_c 8.826
_cell_angle_alpha 90.00
_cell_angle_beta 90.00
_cell_angle_gamma 90.00
loop_
_atom_site_label
_atom_site_type_symbol
_atom_site_fract_x
_atom_site_fract_y
_atom_site_fract_z
Cd1 Cd 0.000 0.000 0.005
Cd2 Cd 0.000 0.000 0.495
Cr1 Cr 0.500 0.500 0.250
Mo1 Mo 0.500 0.500 0.750
```

***

(6)
VASP calculation (PBE) on crystalline CrCd2Mo at its relaxed geometry.

Results
ΔH_f (0 K) ... 0.5225 eV/atom
Relative energy among the computed polymorphs ... 223 meV per atom
SG ... P4/mmm, No. 123
Magnetization ... 1.7 μB per cell

Structure (CIF):
```
data_CrCd2Mo
_symmetry_space_group_name_H-M 'P 1'
_symmetry_Int_Tables_number 1
_symmetry_space_group_name_Hall 'P 1'
_cell_length_a 4.562
_cell_length_b 3.920
_cell_length_c 3.920
_cell_angle_alpha 90.00
_cell_angle_beta 90.00
_cell_angle_gamma 90.00
loop_
_atom_site_label
_atom_site_type_symbol
_atom_site_fract_x
_atom_site_fract_y
_atom_site_fract_z
Cd1 Cd 0.000 0.000 0.000
Cd2 Cd 0.000 0.500 0.500
Cr1 Cr 0.500 0.500 0.000
Mo1 Mo 0.500 0.000 0.500
```

***

(7)
VASP calculation (PBE) on crystalline Cr2CdMo at its relaxed geometry.

Results
ΔH_f (0 K) ... 0.3957 eV/atom
SG ... Cmmm, No. 65
Magnetization ... 0.0 μB per cell

Structure (CIF):
```
data_Cr2CdMo
_symmetry_space_group_name_H-M 'P 1'
_symmetry_Int_Tables_number 1
_symmetry_space_group_name_Hall 'P 1'
_cell_length_a 2.688
_cell_length_b 2.688
_cell_length_c 8.812
_cell_angle_alpha 90.00
_cell_angle_beta 90.00
_cell_angle_gamma 109.80
loop_
_atom_site_label
_atom_site_type_symbol
_atom_site_fract_x
_atom_site_fract_y
_atom_site_fract_z
Cd1 Cd 0.500 0.500 0.750
Cr1 Cr 0.000 0.000 0.021
Cr2 Cr 0.000 0.000 0.479
Mo1 Mo 0.500 0.500 0.250
```

***

(8)
VASP calculation (PBE) on crystalline CrCd2Mo at its relaxed geometry.

Results
ΔH_f (0 K) ... 0.2995 eV/atom
Relative energy among the computed polymorphs ... 0 meV per atom
SG ... P4mm, No. 99
Magnetization ... 0.6 μB per cell

Structure (CIF):
```
data_CrCd2Mo
_symmetry_space_group_name_H-M 'P 1'
_symmetry_Int_Tables_number 1
_symmetry_space_group_name_Hall 'P 1'
_cell_length_a 3.152
_cell_length_b 3.151
_cell_length_c 7.794
_cell_angle_alpha 66.14
_cell_angle_beta 90.00
_cell_angle_gamma 90.00
loop_
_atom_site_label
_atom_site_type_symbol
_atom_site_fract_x
_atom_site_fract_y
_atom_site_fract_z
Cd1 Cd 0.000 0.018 0.982
Cd2 Cd 0.500 0.224 0.276
Cr1 Cr 0.000 0.456 0.544
Mo1 Mo 0.500 0.802 0.698
```

***

(9)
VASP calculation (PBE) on crystalline CrCd2Mo at its relaxed geometry.

Results
ΔH_f (0 K) ... 0.3187 eV/atom
Relative energy among the computed polymorphs ... 19 meV per atom
SG ... Cmm2, No. 35
Magnetization ... 0.0 μB per cell

Structure (CIF):
```
data_CrCd2Mo
_symmetry_space_group_name_H-M 'P 1'
_symmetry_Int_Tables_number 1
_symmetry_space_group_name_Hall 'P 1'
_cell_length_a 2.844
_cell_length_b 2.844
_cell_length_c 9.533
_cell_angle_alpha 90.00
_cell_angle_beta 90.00
_cell_angle_gamma 113.37
loop_
_atom_site_label
_atom_site_type_symbol
_atom_site_fract_x
_atom_site_fract_y
_atom_site_fract_z
Cd1 Cd 0.000 0.000 0.982
Cd2 Cd 0.500 0.500 0.276
Cr1 Cr 0.000 0.000 0.526
Mo1 Mo 0.500 0.500 0.715
```

***

(10)
VASP calculation (PBE) on crystalline Cr2CdMo at its relaxed geometry.

Results
ΔH_f (0 K) ... 0.6073 eV/atom
SG ... F-43m, No. 216
Magnetization ... 2.1 μB per cell

Structure (CIF):
```
data_Cr2CdMo
_symmetry_space_group_name_H-M 'P 1'
_symmetry_Int_Tables_number 1
_symmetry_space_group_name_Hall 'P 1'
_cell_length_a 4.443
_cell_length_b 4.443
_cell_length_c 4.443
_cell_angle_alpha 60.00
_cell_angle_beta 60.00
_cell_angle_gamma 60.00
loop_
_atom_site_label
_atom_site_type_symbol
_atom_site_fract_x
_atom_site_fract_y
_atom_site_fract_z
Cd1 Cd 0.500 0.500 0.500
Cr1 Cr 0.000 0.000 0.000
Cr2 Cr 0.250 0.250 0.250
Mo1 Mo 0.750 0.750 0.750
```

***

(11)
VASP calculation (PBE) on crystalline CrCd2Mo at its relaxed geometry.

Results
ΔH_f (0 K) ... 0.5558 eV/atom
Relative energy among the computed polymorphs ... 256 meV per atom
SG ... F-43m, No. 216
Magnetization ... 1.9 μB per cell

Structure (CIF):
```
data_CrCd2Mo
_symmetry_space_group_name_H-M 'P 1'
_symmetry_Int_Tables_number 1
_symmetry_space_group_name_Hall 'P 1'
_cell_length_a 4.646
_cell_length_b 4.646
_cell_length_c 4.646
_cell_angle_alpha 60.00
_cell_angle_beta 60.00
_cell_angle_gamma 60.00
loop_
_atom_site_label
_atom_site_type_symbol
_atom_site_fract_x
_atom_site_fract_y
_atom_site_fract_z
Cd1 Cd 0.000 0.000 0.000
Cd2 Cd 0.250 0.250 0.250
Cr1 Cr 0.500 0.500 0.500
Mo1 Mo 0.750 0.750 0.750
```

***

(12)
VASP calculation (PBE) on crystalline CrCd2Mo at its relaxed geometry.

Results
ΔH_f (0 K) ... 0.6218 eV/atom
Relative energy among the computed polymorphs ... 322 meV per atom
SG ... R-3m, No. 166
Magnetization ... 3.6 μB per cell

Structure (CIF):
```
data_CrCd2Mo
_symmetry_space_group_name_H-M 'P 1'
_symmetry_Int_Tables_number 1
_symmetry_space_group_name_Hall 'P 1'
_cell_length_a 9.768
_cell_length_b 9.768
_cell_length_c 9.768
_cell_angle_alpha 17.41
_cell_angle_beta 17.41
_cell_angle_gamma 17.41
loop_
_atom_site_label
_atom_site_type_symbol
_atom_site_fract_x
_atom_site_fract_y
_atom_site_fract_z
Cd1 Cd 0.999 0.999 0.999
Cd2 Cd 0.501 0.501 0.501
Cr1 Cr 0.250 0.250 0.250
Mo1 Mo 0.750 0.750 0.750
```